Crystalline RbCd4Pb12 at its relaxed geometry. Source: Alexandria via LeMat-Bulk, functional GGA-PBE.

Lattice parameters (Å, degrees): 10.4896 10.4896 10.4896 90.00 90.00 90.00
With the nearest neighbours (Å) after each atom.
Space group Im-3 (No. 204)
Unique sites:
Rb: 0.0000 0.0000 0.0000 x2  12 Pb 4.06, 8 Cd 4.54
Cd: 0.2500 0.2500 0.2500 x8  6 Pb 3.00
Pb: 0.0000 0.1564 0.3540 x24  2 Cd 3.00, 2 Pb 3.06-3.28

Computed properties:
**Calculated formation energy**: 0.134 eV/atom
**Magnetization**: 0.00 μB/f.u.